(1)
DFT (meta-GGA SCAN) results for a crystal of BaBe2Ir2 relaxed with PBEsol.

Unit cell a=4.128 b=4.128 c=5.706 alpha=111.20 beta=111.20 gamma=90.00
Atoms (fractional coordinates):
Be 0.250 0.750 0.500
Be 0.750 0.250 0.500
Ba 0.000 0.000 0.000
Ir 0.369 0.369 0.739
Ir 0.631 0.631 0.261

Results
Symmetry ... No. 139
Total magnetization ... 0.00 μB per formula unit
Raw total energy ... -191.34 eV for the cell shown
V ... 16.71 A^3/atom
ΔH_f (0 K) ... -0.1764 eV per atom

---

(2)
DFT (meta-GGA SCAN) results for a crystal of BaBe2Ir relaxed with PBEsol.

Unit cell a=4.299 b=4.762 c=4.299 alpha=63.16 beta=90.00 gamma=116.84
Atoms (fractional coordinates):
Ba 0.000 0.000 0.000
Ir 0.500 0.000 0.500
Be 0.750 0.500 0.750
Be 0.250 0.500 0.250

Results
Symmetry ... No. 139
Offset from the most stable computed form ... 18.07 kcal/mol of atoms
Total magnetization ... 0.00 μB per formula unit
Raw total energy ... -116.55 eV for the cell shown
V ... 16.94 A^3/atom
ΔH_f (0 K) ... 0.7012 eV per atom

---

(3)
DFT (meta-GGA SCAN) results for a crystal of BaBeIr2 relaxed with PBEsol.

Unit cell a=2.867 b=3.605 c=7.082 alpha=90.00 beta=90.00 gamma=90.00
Atoms (fractional coordinates):
Ir 0.500 0.500 0.170
Ir 0.000 0.000 0.975
Be 0.500 0.500 0.857
Ba 0.000 0.000 0.498

Results
Symmetry ... No. 25
Total magnetization ... 0.00 μB per formula unit
Raw total energy ... -185.08 eV for the cell shown
V ... 18.30 A^3/atom
ΔH_f (0 K) ... 0.2556 eV per atom